(1)
The following is a PBEsol calculation of Rb3InAg after structural relaxation, from Alexandria.

It has space group Pm-3m (No. 221), with a = 6.497 Å, b = 6.497 Å, c = 6.497 Å, α = 90.00°, β = 90.00° and γ = 90.00°. The distinct sites, in fractional coordinates, are Rb at (0.000, 0.000, 0.500), In at (0.500, 0.500, 0.500) and Ag at (0.000, 0.000, 0.000).

The value obtained for the formation energy is 0.315 eV/atom. Its density is 2.90 Mg/m³.



(2)
The following is a PBEsol calculation of InRe2Ag after structural relaxation, from Alexandria.

It has space group F-43m (No. 216), with a = 6.367 Å, b = 6.367 Å, c = 6.367 Å, α = 90.00°, β = 90.00° and γ = 90.00°. The distinct sites, in fractional coordinates, are In at (0.000, 0.000, 0.000), Re at (0.000, 0.000, 0.500), Re at (0.250, 0.250, 0.750) and Ag at (0.250, 0.250, 0.250).

The value obtained for the formation energy is 0.622 eV/atom. Its density is 15.31 Mg/m³.



(3)
The following is a PBEsol calculation of In2ReAg after structural relaxation, from Alexandria.

It has space group Fm-3m (No. 225), with a = 6.585 Å, b = 6.585 Å, c = 6.585 Å, α = 90.00°, β = 90.00° and γ = 90.00°. The distinct sites, in fractional coordinates, are In at (0.250, 0.250, 0.250), Re at (0.000, 0.000, 0.000) and Ag at (0.000, 0.000, 0.500).

The value obtained for the formation energy is 0.521 eV/atom. Its density is 12.18 Mg/m³.



(4)
The following is a PBEsol calculation of In2ReAg after structural relaxation, from Alexandria.

It has space group Imm2 (No. 44), with a = 2.870 Å, b = 4.646 Å, c = 11.831 Å, α = 90.00°, β = 90.00° and γ = 90.00°. The distinct sites, in fractional coordinates, are In at (0.000, 0.000, 0.000), In at (0.000, 0.500, 0.219), Re at (0.000, 0.000, 0.517) and Ag at (0.000, 0.500, 0.812).

The value obtained for the formation energy is 0.421 eV/atom. Its density is 11.02 Mg/m³.



(5)
The following is a PBEsol calculation of InAg2Rh after structural relaxation, from Alexandria.

It has space group P4/mmm (No. 123), with a = 3.910 Å, b = 3.910 Å, c = 4.289 Å, α = 90.00°, β = 90.00° and γ = 90.00°. The distinct sites, in fractional coordinates, are In at (0.000, 0.000, 0.000), Ag at (0.000, 0.500, 0.500) and Rh at (0.500, 0.500, 0.000).

The value obtained for the formation energy is -0.131 eV/atom. Its density is 10.98 Mg/m³.



(6)
The following is a PBEsol calculation of InAgRh after structural relaxation, from Alexandria.

It has space group Imm2 (No. 44), with a = 3.040 Å, b = 3.762 Å, c = 8.668 Å, α = 90.00°, β = 90.00° and γ = 90.00°. The distinct sites, in fractional coordinates, are In at (0.000, 0.000, 0.000), Ag at (0.000, 0.000, 0.324) and Rh at (0.000, 0.000, 0.654).

The value obtained for the formation energy is -0.084 eV/atom. Its density is 10.91 Mg/m³.



(7)
The following is a PBEsol calculation of InAg2Rh after structural relaxation, from Alexandria.

It has space group Cm (No. 8), with a = 9.898 Å, b = 3.027 Å, c = 4.865 Å, α = 90.00°, β = 114.06° and γ = 90.00°. The distinct sites, in fractional coordinates, are In at (0.000, 0.000, 0.000), Ag at (0.009, 0.500, 0.509), Ag at (0.257, 0.500, 0.395) and Rh at (0.258, 0.000, 0.902).

The value obtained for the formation energy is -0.011 eV/atom. Its density is 10.81 Mg/m³.



(8)
The following is a PBEsol calculation of InAg2Rh after structural relaxation, from Alexandria.

It has space group R-3m (No. 166, hexagonal axes), with a = 2.9023 Å, b = 2.9023 Å, c = 27.9359 Å, α = 90.00°, β = 90.00° and γ = 120.00°. The distinct sites, in fractional coordinates, are In at (0.0000, 0.0000, 0.0000), Ag at (0.0000, 0.0000, 0.2458) and Rh at (0.0000, 0.0000, 0.5000).

The value obtained for the formation energy is 0.217 eV/atom. Its density is 10.60 Mg/m³.



(9)
The following is a PBEsol calculation of InAgRu2 after structural relaxation, from Alexandria.

It has space group Pmm2 (No. 25), with a = 2.836 Å, b = 3.689 Å, c = 6.029 Å, α = 90.00°, β = 90.00° and γ = 90.00°. The distinct sites, in fractional coordinates, are In at (0.000, 0.000, 0.000), Ag at (0.500, 0.500, 0.734), Ru at (0.000, 0.000, 0.464) and Ru at (0.500, 0.500, 0.277).

The value obtained for the formation energy is 0.248 eV/atom. Its density is 11.19 Mg/m³.



(10)
The following is a PBEsol calculation of InAgRu2 after structural relaxation, from Alexandria.

It has space group P4/mmm (No. 123), with a = 3.171 Å, b = 3.171 Å, c = 6.218 Å, α = 90.00°, β = 90.00° and γ = 90.00°. The distinct sites, in fractional coordinates, are In at (0.000, 0.000, 0.000), Ag at (0.000, 0.000, 0.500) and Ru at (0.500, 0.500, 0.254).

The value obtained for the formation energy is 0.520 eV/atom. Its density is 11.28 Mg/m³.



(11)
The following is a PBEsol calculation of InAgRu2 after structural relaxation, from Alexandria.

It has space group Amm2 (No. 38), with a = 4.230 Å, b = 2.825 Å, c = 10.764 Å, α = 90.00°, β = 90.00° and γ = 90.00°. The distinct sites, in fractional coordinates, are In at (0.000, 0.000, 0.000), Ag at (0.500, 0.000, 0.362), Ru at (0.000, 0.000, 0.736) and Ru at (0.500, 0.000, 0.630).

The value obtained for the formation energy is 0.391 eV/atom. Its density is 10.97 Mg/m³.



(12)
The following is a PBEsol calculation of In5AgS8 after structural relaxation, from Alexandria.

It has space group F-43m (No. 216), with a = 10.796 Å, b = 10.796 Å, c = 10.796 Å, α = 90.00°, β = 90.00° and γ = 90.00°. The distinct sites, in fractional coordinates, are In at (0.000, 0.000, 0.000), In at (0.119, 0.119, 0.619), Ag at (0.250, 0.250, 0.250), S at (0.119, 0.119, 0.381) and S at (0.134, 0.134, 0.866).

The calculation puts the total energy at -4.357 eV per atom. Its density is 4.95 Mg/m³.



(13)
The following is a PBEsol calculation of InAgSnS4 after structural relaxation, from Alexandria.

It has space group Imma (No. 74), with a = 7.577 Å, b = 7.588 Å, c = 10.718 Å, α = 90.00°, β = 90.00° and γ = 90.00°. The distinct sites, in fractional coordinates, are In at (0.250, 0.250, 0.250), Ag at (0.000, 0.250, 0.632), Sn at (0.000, 0.000, 0.000), S at (0.000, 0.016, 0.238) and S at (0.234, 0.250, 0.004).

The calculation puts the total energy at -4.460 eV per atom. Its density is 5.06 Mg/m³.



(14)
The following is a PBEsol calculation of InAg2Sb after structural relaxation, from Alexandria.

It has space group R-3m (No. 166, hexagonal axes), with a = 3.2923 Å, b = 3.2923 Å, c = 26.6430 Å, α = 90.00°, β = 90.00° and γ = 120.00°. The distinct sites, in fractional coordinates, are In at (0.0000, 0.0000, 0.0000), Ag at (0.0000, 0.0000, 0.2512) and Sb at (0.0000, 0.0000, 0.5000).

The calculation puts the total energy at -3.468 eV per atom. Its density is 9.01 Mg/m³.



(15)
The following is a PBEsol calculation of InAgSb2 after structural relaxation, from Alexandria.

It has space group Cm (No. 8), with a = 8.429 Å, b = 3.134 Å, c = 7.498 Å, α = 90.00°, β = 95.99° and γ = 90.00°. The distinct sites, in fractional coordinates, are In at (0.000, 0.000, 0.000), Ag at (0.228, 0.500, 0.217), Sb at (0.264, 0.000, 0.734) and Sb at (0.458, 0.000, 0.429).

The calculation puts the total energy at -3.783 eV per atom. Its density is 7.86 Mg/m³.



(16)
The following is a PBEsol calculation of InAgSb2 after structural relaxation, from Alexandria.

It has space group P4/mmm (No. 123), with a = 4.616 Å, b = 4.616 Å, c = 4.488 Å, α = 90.00°, β = 90.00° and γ = 90.00°. The distinct sites, in fractional coordinates, are In at (0.000, 0.000, 0.000), Ag at (0.500, 0.500, 0.000) and Sb at (0.000, 0.500, 0.500).

The calculation puts the total energy at -3.674 eV per atom. Its density is 8.09 Mg/m³.



(17)
The following is a PBEsol calculation of InAgSb2 after structural relaxation, from Alexandria.

It has space group Cmmm (No. 65), with a = 6.521 Å, b = 8.674 Å, c = 3.375 Å, α = 90.00°, β = 90.00° and γ = 90.00°. The distinct sites, in fractional coordinates, are In at (0.000, 0.000, 0.000), Ag at (0.000, 0.500, 0.000) and Sb at (0.250, 0.250, 0.500).

The calculation puts the total energy at -3.685 eV per atom. Its density is 8.11 Mg/m³.



(18)
The following is a PBEsol calculation of InAgSb2 after structural relaxation, from Alexandria.

It has space group Cmmm (No. 65), with a = 4.235 Å, b = 4.696 Å, c = 9.756 Å, α = 90.00°, β = 90.00° and γ = 90.00°. The distinct sites, in fractional coordinates, are In at (0.000, 0.000, 0.000), Ag at (0.000, 0.000, 0.500) and Sb at (0.000, 0.500, 0.283).

The calculation puts the total energy at -3.742 eV per atom. Its density is 7.98 Mg/m³.



(19)
The following is a PBEsol calculation of ScIn2Ag after structural relaxation, from Alexandria.

It has space group I-4m2 (No. 119), with a = 4.327 Å, b = 4.327 Å, c = 8.779 Å, α = 90.00°, β = 90.00° and γ = 90.00°. The distinct sites, in fractional coordinates, are Sc at (0.000, 0.000, 0.000), In at (0.000, 0.000, 0.500), In at (0.000, 0.500, 0.750) and Ag at (0.000, 0.500, 0.250).

The value obtained for the formation energy is -0.262 eV/atom. Its density is 7.73 Mg/m³.



(20)
The following is a PBEsol calculation of Sc2InAg after structural relaxation, from Alexandria.

It has space group P4/mmm (No. 123), with a = 4.862 Å, b = 4.862 Å, c = 3.472 Å, α = 90.00°, β = 90.00° and γ = 90.00°. The distinct sites, in fractional coordinates, are Sc at (0.000, 0.500, 0.000), In at (0.000, 0.000, 0.500) and Ag at (0.500, 0.500, 0.500).

The value obtained for the formation energy is -0.398 eV/atom. Its density is 6.32 Mg/m³.



(21)
The following is a PBEsol calculation of ScInAg after structural relaxation, from Alexandria.

It has space group I4mm (No. 107), with a = 3.238 Å, b = 3.238 Å, c = 11.345 Å, α = 90.00°, β = 90.00° and γ = 90.00°. The distinct sites, in fractional coordinates, are Sc at (0.000, 0.000, 0.000), In at (0.000, 0.000, 0.680) and Ag at (0.000, 0.000, 0.339).

The value obtained for the formation energy is -0.301 eV/atom. Its density is 7.47 Mg/m³.



(22)
The following is a PBEsol calculation of ScIn2Ag after structural relaxation, from Alexandria.

It has space group P4/mmm (No. 123), with a = 3.235 Å, b = 3.235 Å, c = 7.754 Å, α = 90.00°, β = 90.00° and γ = 90.00°. The distinct sites, in fractional coordinates, are Sc at (0.000, 0.000, 0.000), In at (0.500, 0.500, 0.264) and Ag at (0.000, 0.000, 0.500).

The value obtained for the formation energy is -0.271 eV/atom. Its density is 7.82 Mg/m³.



(23)
The following is a PBEsol calculation of ScInAg after structural relaxation, from Alexandria.

It has space group Imm2 (No. 44), with a = 3.103 Å, b = 4.413 Å, c = 8.725 Å, α = 90.00°, β = 90.00° and γ = 90.00°. The distinct sites, in fractional coordinates, are Sc at (0.000, 0.000, 0.000), In at (0.000, 0.000, 0.336) and Ag at (0.000, 0.000, 0.668).

The value obtained for the formation energy is -0.224 eV/atom. Its density is 7.44 Mg/m³.



(24)
The following is a PBEsol calculation of Sc2InAg after structural relaxation, from Alexandria.

It has space group Imm2 (No. 44), with a = 3.370 Å, b = 4.841 Å, c = 10.164 Å, α = 90.00°, β = 90.00° and γ = 90.00°. The distinct sites, in fractional coordinates, are Sc at (0.000, 0.000, 0.000), Sc at (0.000, 0.500, 0.228), In at (0.000, 0.500, 0.769) and Ag at (0.000, 0.000, 0.492).

The value obtained for the formation energy is -0.304 eV/atom. Its density is 6.26 Mg/m³.



(25)
The following is a PBEsol calculation of ScInAgW2 after structural relaxation, from Alexandria.

It has space group P4/mmm (No. 123), with a = 4.884 Å, b = 4.884 Å, c = 5.012 Å, α = 90.00°, β = 90.00° and γ = 90.00°. The distinct sites, in fractional coordinates, are Sc at (0.000, 0.000, 0.000), In at (0.000, 0.000, 0.500), Ag at (0.500, 0.500, 0.000) and W at (0.000, 0.500, 0.500).

The value obtained for the formation energy is 2.277 eV/atom. Its density is 8.83 Mg/m³.



(26)
The following is a PBEsol calculation of InAgSe2 after structural relaxation, from Alexandria.

It has space group Pna2_1 (No. 33), with a = 7.317 Å, b = 8.522 Å, c = 6.977 Å, α = 90.00°, β = 90.00° and γ = 90.00°. The distinct sites, in fractional coordinates, are In at (0.077, 0.126, 0.000), Ag at (0.091, 0.623, 0.005), Se at (0.076, 0.128, 0.374) and Se at (0.086, 0.622, 0.377).

The calculation puts the total energy at -3.867 eV per atom. Its density is 5.81 Mg/m³.



(27)
The following is a PBEsol calculation of InAgSe after structural relaxation, from Alexandria.

It has space group I4mm (No. 107), with a = 3.825 Å, b = 3.825 Å, c = 8.686 Å, α = 90.00°, β = 90.00° and γ = 90.00°. The distinct sites, in fractional coordinates, are In at (0.000, 0.000, 0.000), Ag at (0.000, 0.000, 0.664) and Se at (0.000, 0.000, 0.341).

The calculation puts the total energy at -3.398 eV per atom. Its density is 7.88 Mg/m³.



(28)
The following is a PBEsol calculation of InAgSe2 after structural relaxation, from Alexandria.

It has space group I-42d (No. 122), with a = 6.056 Å, b = 6.056 Å, c = 11.861 Å, α = 90.00°, β = 90.00° and γ = 90.00°. The distinct sites, in fractional coordinates, are In at (0.000, 0.000, 0.000), Ag at (0.000, 0.000, 0.500) and Se at (0.249, 0.250, 0.625).

The calculation puts the total energy at -3.871 eV per atom. Its density is 5.81 Mg/m³.



(29)
The following is a PBEsol calculation of InAgSe2 after structural relaxation, from Alexandria.

It has space group P2/m (No. 10), with a = 4.502 Å, b = 4.002 Å, c = 5.189 Å, α = 90.00°, β = 109.07° and γ = 90.00°. The distinct sites, in fractional coordinates, are In at (0.000, 0.000, 0.000), Ag at (0.500, 0.000, 0.500) and Se at (0.272, 0.500, 0.736).

The calculation puts the total energy at -3.598 eV per atom. Its density is 7.15 Mg/m³.